{"formula": "Ta5NbPt2", "functional": "PBE-GGA", "state": "optimized geometry", "lattice": [[5.192, 0.000, 0.000], [0.000, 5.192, 0.000], [0.000, 0.000, 5.173]], "species": ["Ta", "Ta", "Ta", "Ta", "Ta", "Nb", "Pt", "Pt"], "frac_coords": [[0.000, 0.000, 0.000], [0.251, 0.500, 0.750], [0.500, 0.251, 0.250], [0.500, 0.749, 0.250], [0.749, 0.500, 0.750], [0.000, 0.000, 0.500], [0.000, 0.500, 0.249], [0.500, 0.000, 0.751]], "total_magnetization_mub_per_cell": 0.00, "energy_ev_per_cell": -84.78, "delta_e_f_ev_per_atom": -0.414, "volume_a3_per_atom": 17.4}



{"formula": "NaTmRe", "functional": "PBE-GGA", "state": "optimized geometry", "lattice": [[0.000, 3.263, 3.263], [3.263, 0.000, 3.263], [3.263, 3.263, 0.000]], "species": ["Na", "Tm", "Re"], "frac_coords": [[0.000, 0.000, 0.000], [0.250, 0.250, 0.250], [0.750, 0.750, 0.750]], "total_magnetization_mub_per_cell": 1.30, "energy_ev_per_cell": -13.26, "volume_a3_per_atom": 23.2}



{"formula": "BaZnGa2", "functional": "PBE-GGA", "state": "optimized geometry", "lattice": [[0.000, 3.653, 3.653], [3.653, 0.000, 3.653], [3.653, 3.653, 0.000]], "species": ["Ba", "Zn", "Ga", "Ga"], "frac_coords": [[0.000, 0.000, 0.000], [0.250, 0.250, 0.250], [0.500, 0.500, 0.500], [0.750, 0.750, 0.750]], "energy_ev_per_cell": -9.74, "volume_a3_per_atom": 24.4}



{"formula": "AcPIr", "functional": "PBE-GGA", "state": "optimized geometry", "lattice": [[4.183, 0.000, 0.000], [-2.091, 3.623, 0.000], [0.000, 0.000, 4.442]], "species": ["Ac", "P", "Ir"], "frac_coords": [[0.000, 0.000, 0.000], [0.333, 0.667, 0.500], [0.667, 0.333, 0.500]], "total_magnetization_mub_per_cell": 0.00, "energy_ev_per_cell": -21.50, "volume_a3_per_atom": 22.4}



{"formula": "Sc8Ni2C3N3", "functional": "PBE-GGA", "state": "optimized geometry", "lattice": [[3.235, 0.000, 0.000], [-1.618, 2.802, 0.000], [0.000, 0.000, 23.601]], "species": ["Sc", "Sc", "Sc", "Sc", "Sc", "Sc", "Sc", "Sc", "Ni", "Ni", "C", "C", "C", "N", "N", "N"], "frac_coords": [[0.000, 0.000, 0.162], [0.000, 0.000, 0.331], [0.000, 0.000, 0.669], [0.000, 0.000, 0.838], [0.333, 0.667, 0.559], [0.333, 0.667, 0.946], [0.667, 0.333, 0.054], [0.667, 0.333, 0.441], [0.333, 0.667, 0.757], [0.667, 0.333, 0.243], [0.000, 0.000, 0.500], [0.333, 0.667, 0.379], [0.667, 0.333, 0.621], [0.000, 0.000, 0.000], [0.333, 0.667, 0.112], [0.667, 0.333, 0.888]], "total_magnetization_mub_per_cell": 0.09, "energy_ev_per_cell": -128.25, "volume_a3_per_atom": 13.4}



{"formula": "PrZr2Si", "functional": "PBE-GGA", "state": "optimized geometry", "lattice": [[8.713, -1.824, 0.000], [8.713, 1.824, 0.000], [-0.788, 0.000, 6.278]], "species": ["Pr", "Pr", "Zr", "Zr", "Zr", "Zr", "Si", "Si"], "frac_coords": [[0.249, 0.249, 0.250], [0.751, 0.751, 0.750], [0.092, 0.092, 0.864], [0.408, 0.408, 0.635], [0.592, 0.592, 0.365], [0.908, 0.908, 0.136], [0.000, 0.000, 0.500], [0.500, 0.500, 0.000]], "total_magnetization_mub_per_cell": 0.03, "energy_ev_per_cell": -55.81, "volume_a3_per_atom": 24.9}



{"formula": "LaTbNd", "functional": "PBE-GGA", "state": "optimized geometry", "lattice": [[0.000, 3.870, 3.870], [3.870, 0.000, 3.870], [3.870, 3.870, 0.000]], "species": ["La", "Tb", "Nd"], "frac_coords": [[0.000, 0.000, 0.000], [0.250, 0.250, 0.250], [0.750, 0.750, 0.750]], "total_magnetization_mub_per_cell": 1.27, "energy_ev_per_cell": -12.09, "delta_e_f_ev_per_atom": 0.742, "volume_a3_per_atom": 38.6}



{"formula": "ReAsPd2", "functional": "PBE-GGA", "state": "optimized geometry", "lattice": [[0.000, 3.110, 3.110], [3.110, 0.000, 3.110], [3.110, 3.110, 0.000]], "species": ["Re", "As", "Pd", "Pd"], "frac_coords": [[0.000, 0.000, 0.000], [0.750, 0.750, 0.750], [0.250, 0.250, 0.250], [0.500, 0.500, 0.500]], "total_magnetization_mub_per_cell": 0.01, "energy_ev_per_cell": -26.77, "volume_a3_per_atom": 15.0}